Entry 1:
First-principles (PBE-GGA) data for a relaxed structure of RbVNi3, as listed in Alexandria via LeMat-Bulk.

Computed properties:
Energy above the lowest structure with this stoichiometry   0.0 meV/atom

Cell and atoms, written as CIF:
```
data_RbVNi3
_chemical_formula_sum 'Rb1 V1 Ni3'
_symmetry_space_group_name_H-M 'P m -3 m'
_symmetry_Int_Tables_number 221
_symmetry_space_group_name_Hall '-P 4 2 3'
_cell_length_a 4.6050
_cell_length_b 4.6050
_cell_length_c 4.6050
_cell_angle_alpha 90.00
_cell_angle_beta 90.00
_cell_angle_gamma 90.00
loop_
_atom_site_label
_atom_site_fract_x
_atom_site_fract_y
_atom_site_fract_z
Rb1 0.0000 0.0000 0.0000
V1 0.5000 0.5000 0.5000
Ni1 0.0000 0.5000 0.5000
```

Entry 2:
First-principles (PBE-GGA) data for a relaxed structure of RbV2NiW, as listed in Alexandria via LeMat-Bulk.

Cell and atoms, written as CIF:
```
data_RbV2NiW
_chemical_formula_sum 'Rb1 V2 Ni1 W1'
_symmetry_space_group_name_H-M 'P 4/m m m'
_symmetry_Int_Tables_number 123
_symmetry_space_group_name_Hall '-P 4 2'
_cell_length_a 4.5416
_cell_length_b 4.5416
_cell_length_c 4.3134
_cell_angle_alpha 90.00
_cell_angle_beta 90.00
_cell_angle_gamma 90.00
loop_
_atom_site_label
_atom_site_fract_x
_atom_site_fract_y
_atom_site_fract_z
Rb1 0.0000 0.0000 0.0000
V1 0.0000 0.5000 0.0000
Ni1 0.0000 0.0000 0.5000
W1 0.5000 0.5000 0.5000
```

Entry 3:
First-principles (PBE-GGA) data for a relaxed structure of Rb2NiW, as listed in Alexandria via LeMat-Bulk.

Computed properties:
Energy above the lowest structure with this stoichiometry   643.1 meV/atom

Cell and atoms, written as CIF:
```
data_Rb2NiW
_chemical_formula_sum 'Rb8 Ni4 W4'
_symmetry_space_group_name_H-M 'F m -3 m'
_symmetry_Int_Tables_number 225
_symmetry_space_group_name_Hall '-F 4 2 3'
_cell_length_a 8.3632
_cell_length_b 8.3632
_cell_length_c 8.3632
_cell_angle_alpha 90.00
_cell_angle_beta 90.00
_cell_angle_gamma 90.00
loop_
_atom_site_label
_atom_site_fract_x
_atom_site_fract_y
_atom_site_fract_z
Rb1 0.2500 0.2500 0.2500
Ni1 0.0000 0.0000 0.0000
W1 0.0000 0.0000 0.5000
```

Entry 4:
First-principles (PBE-GGA) data for a relaxed structure of RbNiW2, as listed in Alexandria via LeMat-Bulk.

Computed properties:
Energy above the lowest structure with this stoichiometry   0.0 meV/atom

Cell and atoms, written as CIF:
```
data_RbNiW2
_chemical_formula_sum 'Rb4 Ni4 W8'
_symmetry_space_group_name_H-M 'I -4 2 d'
_symmetry_Int_Tables_number 122
_symmetry_space_group_name_Hall 'I -4 2bw'
_cell_length_a 4.9803
_cell_length_b 4.9803
_cell_length_c 17.2350
_cell_angle_alpha 90.00
_cell_angle_beta 90.00
_cell_angle_gamma 90.00
loop_
_atom_site_label
_atom_site_fract_x
_atom_site_fract_y
_atom_site_fract_z
Rb1 0.0000 0.0000 0.0000
Ni1 0.0000 0.0000 0.5000
W1 0.0100 0.7500 0.6250
```

Entry 5:
First-principles (PBE-GGA) data for a relaxed structure of RbNi3W, as listed in Alexandria via LeMat-Bulk.

Computed properties:
Energy above the lowest structure with this stoichiometry   1521.8 meV/atom

Cell and atoms, written as CIF:
```
data_RbNi3W
_chemical_formula_sum 'Rb1 Ni3 W1'
_symmetry_space_group_name_H-M 'P m -3 m'
_symmetry_Int_Tables_number 221
_symmetry_space_group_name_Hall '-P 4 2 3'
_cell_length_a 4.5243
_cell_length_b 4.5243
_cell_length_c 4.5243
_cell_angle_alpha 90.00
_cell_angle_beta 90.00
_cell_angle_gamma 90.00
loop_
_atom_site_label
_atom_site_fract_x
_atom_site_fract_y
_atom_site_fract_z
Rb1 0.0000 0.0000 0.0000
Ni1 0.0000 0.0000 0.5000
W1 0.5000 0.5000 0.5000
```

Entry 6:
First-principles (PBE-GGA) data for a relaxed structure of Rb2NiW, as listed in Alexandria via LeMat-Bulk.

Computed properties:
Energy above the lowest structure with this stoichiometry   0.0 meV/atom

Cell and atoms, written as CIF:
```
data_Rb2NiW
_chemical_formula_sum 'Rb8 Ni4 W4'
_symmetry_space_group_name_H-M 'I -4 2 d'
_symmetry_Int_Tables_number 122
_symmetry_space_group_name_Hall 'I -4 2bw'
_cell_length_a 12.9013
_cell_length_b 12.9013
_cell_length_c 4.6146
_cell_angle_alpha 90.00
_cell_angle_beta 90.00
_cell_angle_gamma 90.00
loop_
_atom_site_label
_atom_site_fract_x
_atom_site_fract_y
_atom_site_fract_z
Rb1 0.0637 0.7500 0.1250
Ni1 0.0000 0.0000 0.0000
W1 0.0000 0.0000 0.5000
```

Entry 7:
First-principles (PBE-GGA) data for a relaxed structure of RbNiW2, as listed in Alexandria via LeMat-Bulk.

Computed properties:
Energy above the lowest structure with this stoichiometry   260.1 meV/atom

Cell and atoms, written as CIF:
```
data_RbNiW2
_chemical_formula_sum 'Rb4 Ni4 W8'
_symmetry_space_group_name_H-M 'F m -3 m'
_symmetry_Int_Tables_number 225
_symmetry_space_group_name_Hall '-F 4 2 3'
_cell_length_a 6.4416
_cell_length_b 6.4416
_cell_length_c 6.4416
_cell_angle_alpha 90.00
_cell_angle_beta 90.00
_cell_angle_gamma 90.00
loop_
_atom_site_label
_atom_site_fract_x
_atom_site_fract_y
_atom_site_fract_z
Rb1 0.0000 0.0000 0.0000
Ni1 0.0000 0.0000 0.5000
W1 0.2500 0.2500 0.2500
```

Entry 8:
First-principles (PBE-GGA) data for a relaxed structure of RbNi3W, as listed in Alexandria via LeMat-Bulk.

Computed properties:
Energy above the lowest structure with this stoichiometry   0.0 meV/atom

Cell and atoms, written as CIF:
```
data_RbNi3W
_chemical_formula_sum 'Rb1 Ni3 W1'
_symmetry_space_group_name_H-M 'P m -3 m'
_symmetry_Int_Tables_number 221
_symmetry_space_group_name_Hall '-P 4 2 3'
_cell_length_a 4.7367
_cell_length_b 4.7367
_cell_length_c 4.7367
_cell_angle_alpha 90.00
_cell_angle_beta 90.00
_cell_angle_gamma 90.00
loop_
_atom_site_label
_atom_site_fract_x
_atom_site_fract_y
_atom_site_fract_z
Rb1 0.0000 0.0000 0.0000
Ni1 0.0000 0.5000 0.5000
W1 0.5000 0.5000 0.5000
```

Result set for energy: -22.32 -23.78 -48.83 -99.73 -17.63 -59.12 -95.57 -25.24 eV per cell, one per record in the order listed.
Result set for ΔH_f (0 K): 1021 2832 2115 1931 2726 1472 2191 1205 meV/atom, one per record in the order listed.